Computed, not measured: a relaxed VHgSe3 crystal at the PBE level of DFT.

* Fermi-level density of states: 6.83 states/eV per cell
* SG: No. 63
* relative energy among the computed polymorphs: 0 kJ/mol of formula units

```
data_VHgSe3
_cell_length_a 7.135
_cell_length_b 7.135
_cell_length_c 5.481
_cell_angle_alpha 90.00
_cell_angle_beta 90.00
_cell_angle_gamma 119.93
_space_group_name_H-M_alt 'P 1'
_space_group_IT_number 1
loop_
_space_group_symop_operation_xyz
'x,y,z'
loop_
_atom_site_label
_atom_site_fract_x
_atom_site_fract_y
_atom_site_fract_z
_atom_site_occupancy
V1 0.000 0.000 0.000 1
V2 0.000 0.000 0.500 1
Hg1 0.334 0.666 0.750 1
Hg2 0.666 0.334 0.250 1
Se1 0.165 0.330 0.250 1
Se2 0.165 0.835 0.250 1
Se3 0.330 0.165 0.750 1
Se4 0.670 0.835 0.250 1
Se5 0.835 0.165 0.750 1
Se6 0.835 0.670 0.750 1
```

Computed, not measured: a relaxed Ac2Ge4Rh5 crystal at the PBE level of DFT.

* Fermi-level density of states: 4.72 states/eV per cell
* ΔE_f: -0.803 eV per atom
* SG: No. 69

```
data_Ac2Ge4Rh5
_cell_length_a 8.908
_cell_length_b 7.892
_cell_length_c 5.836
_cell_angle_alpha 79.38
_cell_angle_beta 60.54
_cell_angle_gamma 40.08
_space_group_name_H-M_alt 'P 1'
_space_group_IT_number 1
loop_
_space_group_symop_operation_xyz
'x,y,z'
loop_
_atom_site_label
_atom_site_fract_x
_atom_site_fract_y
_atom_site_fract_z
_atom_site_occupancy
Ac1 0.132 0.132 0.868 1
Ac2 0.868 0.868 0.132 1
Ge1 0.211 0.532 0.468 1
Ge2 0.468 0.789 0.211 1
Ge3 0.532 0.211 0.789 1
Ge4 0.789 0.468 0.532 1
Rh1 0.000 0.000 0.500 1
Rh2 0.250 0.250 0.250 1
Rh3 0.500 0.500 0.000 1
Rh4 0.500 0.500 0.500 1
Rh5 0.750 0.750 0.750 1
```